[1]
Crystalline Th5Zn4Cd at its relaxed geometry. Source: Alexandria, functional PBE-GGA.

The space group is P4/mmm (No. 123) and the conventional cell measures 3.667, 3.667 and 18.911 Å, with angles of 90.00, 90.00 and 90.00 degrees. Symmetry generates all atoms from Th at (0.000, 0.000, 0.000), Th at (0.000, 0.000, 0.193), Th at (0.000, 0.000, 0.388), Zn at (0.500, 0.500, 0.097), Zn at (0.500, 0.500, 0.291) and Cd at (0.500, 0.500, 0.500).

For the total energy, the calculation gives -44.59 eV for the cell shown. Its energy relative to the elements is -0.148 eV/atom.

---

[2]
Crystalline LiMgTcMo at its relaxed geometry. Source: Alexandria, functional PBE-GGA.

The space group is F-43m (No. 216) and the conventional cell measures 6.224, 6.224 and 6.224 Å, with angles of 90.00, 90.00 and 90.00 degrees. Symmetry generates all atoms from Li at (0.000, 0.000, 0.000), Mg at (0.250, 0.250, 0.250), Tc at (0.000, 0.000, 0.500) and Mo at (0.250, 0.250, 0.750).

For the total energy, the calculation gives -95.51 eV for the cell shown. Its energy relative to the elements is 0.207 eV/atom.

---

[3]
Crystalline OsS2BrCl at its relaxed geometry. Source: Alexandria, functional PBE-GGA.

The space group is P4/mmm (No. 123) and the conventional cell measures 4.896, 4.896 and 4.961 Å, with angles of 90.00, 90.00 and 90.00 degrees. Symmetry generates all atoms from Os at (0.000, 0.000, 0.000), S at (0.000, 0.500, 0.500), Br at (0.500, 0.500, 0.500) and Cl at (0.500, 0.500, 0.000).

For the total energy, the calculation gives -13.36 eV for the cell shown. The calculation puts the raw formation energy at 1.929 eV per atom. The calculation puts the relative energy among the computed polymorphs at 741.8 kJ/mol of formula units.

---

[4]
Crystalline Ti2Ga3Tc4 at its relaxed geometry. Source: Alexandria, functional PBE-GGA.

The space group is C2/m (No. 12) and the conventional cell measures 8.046, 4.261 and 7.908 Å, with angles of 90.00, 97.75 and 90.00 degrees. Symmetry generates all atoms from Ti at (0.186, 0.000, 0.218), Ga at (0.000, 0.500, 0.000), Ga at (0.152, 0.000, 0.566), Tc at (0.028, 0.500, 0.348) and Tc at (0.154, 0.000, 0.889).

For the total energy, the calculation gives -137.77 eV for the cell shown. Its energy relative to the elements is -0.283 eV/atom.

---

[5]
Crystalline BaSbPdI2 at its relaxed geometry. Source: Alexandria, functional PBE-GGA.

The space group is P4/mmm (No. 123) and the conventional cell measures 5.627, 5.627 and 5.392 Å, with angles of 90.00, 90.00 and 90.00 degrees. Symmetry generates all atoms from Ba at (0.000, 0.000, 0.000), Sb at (0.500, 0.500, 0.000), Pd at (0.500, 0.500, 0.500) and I at (0.000, 0.500, 0.500).

For the total energy, the calculation gives -17.39 eV for the cell shown. The calculation puts the raw formation energy at -0.610 eV per atom. The calculation puts the relative energy among the computed polymorphs at 0.0 kJ/mol of formula units.

---

[6]
Crystalline DyHo2TlC at its relaxed geometry. Source: Alexandria, functional PBE-GGA.

The space group is P4/mmm (No. 123) and the conventional cell measures 4.895, 4.895 and 4.923 Å, with angles of 90.00, 90.00 and 90.00 degrees. Symmetry generates all atoms from Dy at (0.000, 0.000, 0.000), Ho at (0.000, 0.500, 0.500), Tl at (0.500, 0.500, 0.000) and C at (0.000, 0.000, 0.500).

For the total energy, the calculation gives -27.69 eV for the cell shown. Its energy relative to the elements is -0.468 eV/atom.

---

[7]
Crystalline CaZr3Tc at its relaxed geometry. Source: Alexandria, functional PBE-GGA.

The space group is Pm-3m (No. 221) and the conventional cell measures 5.139, 5.139 and 5.139 Å, with angles of 90.00, 90.00 and 90.00 degrees. Symmetry generates all atoms from Ca at (0.000, 0.000, 0.000), Zr at (0.000, 0.500, 0.500) and Tc at (0.500, 0.500, 0.500).

For the total energy, the calculation gives -36.54 eV for the cell shown. The calculation puts the relative energy among the computed polymorphs at 0.0 kJ/mol of formula units. Its energy relative to the elements is 0.295 eV/atom.

---

[8]
Crystalline CaYAgRh at its relaxed geometry. Source: Alexandria, functional PBE-GGA.

The space group is F-43m (No. 216) and the conventional cell measures 7.068, 7.068 and 7.068 Å, with angles of 90.00, 90.00 and 90.00 degrees. Symmetry generates all atoms from Ca at (0.000, 0.000, 0.000), Y at (0.000, 0.000, 0.500), Ag at (0.250, 0.250, 0.750) and Rh at (0.250, 0.250, 0.250).

For the total energy, the calculation gives -81.75 eV for the cell shown. The calculation puts the relative energy among the computed polymorphs at 21.7 kJ/mol of formula units. Its energy relative to the elements is -0.442 eV/atom.

---

[9]
Crystalline RbBa2I4 at its relaxed geometry. Source: Alexandria, functional PBE-GGA.

The space group is P-1 (No. 2) and the conventional cell measures 9.245, 9.277 and 10.291 Å, with angles of 109.32, 109.28 and 105.38 degrees. Symmetry generates all atoms from Rb at (0.126, 0.376, 0.251), Ba at (0.000, 0.000, 0.500), Ba at (0.500, 0.000, 0.000), Ba at (0.500, 0.000, 0.500), Ba at (0.500, 0.500, 0.000), I at (0.166, 0.134, 0.907), I at (0.227, 0.759, 0.594), I at (0.259, 0.727, 0.093) and I at (0.366, 0.335, 0.593).

For the total energy, the calculation gives -43.11 eV for the cell shown. The calculation puts the raw formation energy at -1.506 eV per atom. The calculation puts the relative energy among the computed polymorphs at 19.9 kJ/mol of formula units.

---

[10]
Crystalline TmSc2ZnHg4 at its relaxed geometry. Source: Alexandria, functional PBE-GGA.

The space group is R-3m (No. 166, hexagonal axes) and the conventional cell measures 4.9346, 4.9346 and 24.9836 Å, with angles of 90.00, 90.00 and 120.00 degrees. Symmetry generates all atoms from Tm at (0.0000, 0.0000, 0.0000), Sc at (0.0000, 0.0000, 0.2436), Zn at (0.0000, 0.0000, 0.5000), Hg at (0.0000, 0.0000, 0.1247) and Hg at (0.0000, 0.0000, 0.3756).

For the total energy, the calculation gives -66.52 eV for the cell shown. Its energy relative to the elements is -0.320 eV/atom.

---

[11]
Crystalline Na2CaPb3 at its relaxed geometry. Source: Alexandria, functional PBE-GGA.

The space group is C2/m (No. 12) and the conventional cell measures 4.934, 14.658 and 9.702 Å, with angles of 90.00, 90.01 and 90.00 degrees. Symmetry generates all atoms from Na at (0.000, 0.000, 0.000), Na at (0.000, 0.000, 0.500), Na at (0.000, 0.333, 0.000), Ca at (0.000, 0.338, 0.500), Pb at (0.000, 0.167, 0.252) and Pb at (0.001, 0.500, 0.753).

For the total energy, the calculation gives -69.16 eV for the cell shown. The calculation puts the relative energy among the computed polymorphs at 1.9 kJ/mol of formula units. Its energy relative to the elements is -0.254 eV/atom.

---

[12]
Crystalline Pr5Bi at its relaxed geometry. Source: Alexandria, functional PBE-GGA.

The space group is Cmmm (No. 65) and the conventional cell measures 5.032, 15.933 and 5.054 Å, with angles of 90.00, 90.00 and 90.00 degrees. Symmetry generates all atoms from Pr at (0.000, 0.000, 0.000), Pr at (0.000, 0.160, 0.500), Pr at (0.000, 0.337, 0.000) and Bi at (0.000, 0.500, 0.500).

For the total energy, the calculation gives -58.67 eV for the cell shown. Its energy relative to the elements is -0.259 eV/atom.

---

[13]
Crystalline Sc2SiIr at its relaxed geometry. Source: Alexandria, functional PBE-GGA.

The space group is R-3m (No. 166, hexagonal axes) and the conventional cell measures 2.9718, 2.9718 and 28.2375 Å, with angles of 90.00, 90.00 and 120.00 degrees. Symmetry generates all atoms from Sc at (0.0000, 0.0000, 0.0879), Si at (0.0000, 0.0000, 0.5000) and Ir at (0.0000, 0.0000, 0.0000).

For the total energy, the calculation gives -81.35 eV for the cell shown. The calculation puts the raw formation energy at -0.043 eV per atom.